A plane-wave DFT calculation with GGA-PBE was carried out for a relaxed HoAlCoRu crystal.

POSCAR file:
```
HoAlCoRu
1.0
0.0000 3.1523 3.1523
3.1523 0.0000 3.1523
3.1523 3.1523 0.0000
Ho Al Co Ru
1 1 1 1
Direct
0.0000 0.0000 0.0000
0.5000 0.5000 0.5000
0.2500 0.2500 0.2500
0.7500 0.7500 0.7500
```

Properties
D(E_F) (states/eV/f.u.): 3.96
Volume (Å³/cell): 62.6
Uncorrected energy (Ry/atom): -0.4795
Calculated density (g/cm3): 9.33

=====

A plane-wave DFT calculation with GGA-PBE was carried out for a relaxed TbHoAlCo crystal.

POSCAR file:
```
TbHoAlCo
1.0
0.0000 3.5056 3.5056
3.5056 0.0000 3.5056
3.5056 3.5056 0.0000
Tb Ho Al Co
1 1 1 1
Direct
0.0000 0.0000 0.0000
0.5000 0.5000 0.5000
0.7500 0.7500 0.7500
0.2500 0.2500 0.2500
```

Properties
D(E_F) (states/eV/f.u.): 3.01
Volume (Å³/cell): 86.2
Uncorrected energy (Ry/atom): -0.3833
Calculated density (g/cm3): 7.90

=====

A plane-wave DFT calculation with GGA-PBE was carried out for a relaxed HoTmAlCo crystal.

POSCAR file:
```
HoTmAlCo
1.0
0.0000 3.4693 3.4693
3.4693 0.0000 3.4693
3.4693 3.4693 0.0000
Ho Tm Al Co
1 1 1 1
Direct
0.0000 0.0000 0.0000
0.5000 0.5000 0.5000
0.7500 0.7500 0.7500
0.2500 0.2500 0.2500
```

Properties
D(E_F) (states/eV/f.u.): 3.11
Volume (Å³/cell): 83.5
Uncorrected energy (Ry/atom): -0.3825
Calculated density (g/cm3): 8.35

=====

A plane-wave DFT calculation with GGA-PBE was carried out for a relaxed YHoAlCo crystal.

POSCAR file:
```
YHoAlCo
1.0
0.0000 3.5031 3.5031
3.5031 0.0000 3.5031
3.5031 3.5031 0.0000
Y Ho Al Co
1 1 1 1
Direct
0.0000 0.0000 0.0000
0.5000 0.5000 0.5000
0.2500 0.2500 0.2500
0.7500 0.7500 0.7500
```

Properties
D(E_F) (states/eV/f.u.): 2.92
Volume (Å³/cell): 86.0
Uncorrected energy (Ry/atom): -0.4179
Calculated density (g/cm3): 6.56

=====

A plane-wave DFT calculation with GGA-PBE was carried out for a relaxed HoAlZnCo crystal.

POSCAR file:
```
HoAlZnCo
1.0
0.0000 3.2162 3.2162
3.2162 0.0000 3.2162
3.2162 3.2162 0.0000
Ho Al Zn Co
1 1 1 1
Direct
0.0000 0.0000 0.0000
0.5000 0.5000 0.5000
0.7500 0.7500 0.7500
0.2500 0.2500 0.2500
```

Properties
D(E_F) (states/eV/f.u.): 2.85
Volume (Å³/cell): 66.5
Uncorrected energy (Ry/atom): -0.3248
Calculated density (g/cm3): 7.89

=====

A plane-wave DFT calculation with GGA-PBE was carried out for a relaxed Al2CoI crystal.

POSCAR file:
```
Al2CoI
1.0
-2.6450 2.6450 7.2049
2.6450 -2.6450 7.2049
2.6450 2.6450 -7.2049
Al Co I
4 2 2
Direct
0.3750 0.2274 0.3524
0.7726 0.1250 0.1476
0.8750 0.0226 0.6476
0.9774 0.6250 0.8524
0.0000 0.0000 0.0000
0.7500 0.2500 0.5000
0.2500 0.7500 0.5000
0.5000 0.5000 0.0000
```

Properties
Energy relative to the lowest polymorph listed for this composition (meV per atom): 0
D(E_F) (states/eV/f.u.): 0.48
Uncorrected formation energy (kJ/mol of atoms): 38.8
Volume (Å³/cell): 201.6
Calculated density (g/cm3): 3.95

=====

A plane-wave DFT calculation with GGA-PBE was carried out for a relaxed Al2CoI crystal.

POSCAR file:
```
Al2CoI
1.0
0.0000 3.3612 3.3612
3.3612 0.0000 3.3612
3.3612 3.3612 0.0000
Al Co I
2 1 1
Direct
0.2500 0.2500 0.2500
0.7500 0.7500 0.7500
0.0000 0.0000 0.0000
0.5000 0.5000 0.5000
```

Properties
Energy relative to the lowest polymorph listed for this composition (meV per atom): 453
D(E_F) (states/eV/f.u.): 4.38
Uncorrected formation energy (kJ/mol of atoms): 82.6
Volume (Å³/cell): 75.9
Calculated density (g/cm3): 5.24

=====

A plane-wave DFT calculation with GGA-PBE was carried out for a relaxed Al2InCoI crystal.

POSCAR file:
```
Al2InCoI
1.0
4.6991 0.0000 0.0000
0.0000 4.6991 0.0000
0.0000 0.0000 5.1839
Al In Co I
2 1 1 1
Direct
0.0000 0.5000 0.0000
0.5000 0.0000 0.0000
0.0000 0.0000 0.5000
0.0000 0.0000 0.0000
0.5000 0.5000 0.5000
```

Properties
D(E_F) (states/eV/f.u.): 3.72
Uncorrected formation energy (kJ/mol of atoms): -0.3
Volume (Å³/cell): 114.5
Calculated density (g/cm3): 5.14

=====

A plane-wave DFT calculation with GGA-PBE was carried out for a relaxed La2AlCoI crystal.

POSCAR file:
```
La2AlCoI
1.0
5.8761 0.0000 0.0000
0.0000 5.8761 0.0000
0.0000 0.0000 4.3274
La Al Co I
2 1 1 1
Direct
0.0000 0.5000 0.0000
0.5000 0.0000 0.0000
0.0000 0.0000 0.0000
0.0000 0.0000 0.5000
0.5000 0.5000 0.5000
```

Properties
Energy relative to the lowest polymorph listed for this composition (meV per atom): 515
D(E_F) (states/eV/f.u.): 5.91
Uncorrected formation energy (kJ/mol of atoms): -1.4
Volume (Å³/cell): 149.4
Calculated density (g/cm3): 5.45

=====

A plane-wave DFT calculation with GGA-PBE was carried out for a relaxed La2AlCoI crystal.

POSCAR file:
```
La2AlCoI
1.0
5.4700 0.0000 0.0000
0.0000 5.4700 0.0000
0.0000 0.0000 4.5961
La Al Co I
2 1 1 1
Direct
0.0000 0.5000 0.0000
0.5000 0.0000 0.0000
0.0000 0.0000 0.5000
0.0000 0.0000 0.0000
0.5000 0.5000 0.5000
```

Properties
Energy relative to the lowest polymorph listed for this composition (meV per atom): 0
D(E_F) (states/eV/f.u.): 5.36
Uncorrected formation energy (kJ/mol of atoms): -51.1
Volume (Å³/cell): 137.5
Calculated density (g/cm3): 5.92

=====

A plane-wave DFT calculation with GGA-PBE was carried out for a relaxed AlCoIN2 crystal.

POSCAR file:
```
AlCoIN2
1.0
3.7078 0.0000 0.0000
0.0000 3.7078 0.0000
0.0000 0.0000 6.5108
Al Co I N
1 1 1 2
Direct
0.0000 0.0000 0.0000
0.5000 0.5000 0.5000
0.0000 0.0000 0.5000
0.0000 0.5000 0.0000
0.5000 0.0000 0.0000
```

Properties
Energy relative to the lowest polymorph listed for this composition (meV per atom): 0
D(E_F) (states/eV/f.u.): 4.16
Uncorrected formation energy (kJ/mol of atoms): 95.3
Volume (Å³/cell): 89.5
Calculated density (g/cm3): 4.47

=====

A plane-wave DFT calculation with GGA-PBE was carried out for a relaxed AlCoI2N crystal.

POSCAR file:
```
AlCoI2N
1.0
5.5200 0.0000 0.0000
0.0000 5.5200 0.0000
0.0000 0.0000 3.5314
Al Co I N
1 1 2 1
Direct
0.0000 0.0000 0.0000
0.5000 0.5000 0.5000
0.0000 0.5000 0.5000
0.5000 0.0000 0.5000
0.5000 0.5000 0.0000
```

Properties
Energy relative to the lowest polymorph listed for this composition (meV per atom): 0
D(E_F) (states/eV/f.u.): 3.40
Uncorrected formation energy (kJ/mol of atoms): 42.4
Volume (Å³/cell): 107.6
Calculated density (g/cm3): 5.46

=====

A plane-wave DFT calculation with GGA-PBE was carried out for a relaxed AlCoIN2 crystal.

POSCAR file:
```
AlCoIN2
1.0
3.8638 0.0000 0.0000
0.0000 3.8638 0.0000
0.0000 0.0000 5.3674
Al Co I N
1 1 1 2
Direct
0.0000 0.0000 0.0000
0.5000 0.5000 0.5000
0.5000 0.5000 0.0000
0.0000 0.5000 0.5000
0.5000 0.0000 0.5000
```

Properties
Energy relative to the lowest polymorph listed for this composition (meV per atom): 262
D(E_F) (states/eV/f.u.): 3.47
Uncorrected formation energy (kJ/mol of atoms): 120.5
Volume (Å³/cell): 80.1
Calculated density (g/cm3): 4.99

=====

A plane-wave DFT calculation with GGA-PBE was carried out for a relaxed AlCoI2N crystal.

POSCAR file:
```
AlCoI2N
1.0
5.6740 0.0000 0.0000
0.0000 5.6740 0.0000
0.0000 0.0000 3.5399
Al Co I N
1 1 2 1
Direct
0.0000 0.0000 0.0000
0.5000 0.5000 0.5000
0.0000 0.5000 0.0000
0.5000 0.0000 0.0000
0.0000 0.0000 0.5000
```

Properties
Energy relative to the lowest polymorph listed for this composition (meV per atom): 197
D(E_F) (states/eV/f.u.): 5.99
Uncorrected formation energy (kJ/mol of atoms): 61.3
Volume (Å³/cell): 114.0
Calculated density (g/cm3): 5.15